1.
Ba2MnH6Pd | PBE | relaxed

It has space group I4/mmm (No. 139), with a = 5.456 Å, b = 5.456 Å, c = 8.751 Å, α = 90.00°, β = 90.00° and γ = 90.00°. The inequivalent atoms are Ba at (0.000, 0.500, 0.250), Mn at (0.000, 0.000, 0.000), H at (0.000, 0.000, 0.201), H at (0.247, 0.247, 0.500) and Pd at (0.000, 0.000, 0.500).

The total moment is 6.36 μB per cell.

***

2.
RbBaMn2H | PBE | relaxed

It has space group P4/mmm (No. 123), with a = 5.810 Å, b = 5.810 Å, c = 6.964 Å, α = 90.00°, β = 90.00° and γ = 90.00°. The inequivalent atoms are Rb at (0.000, 0.000, 0.000), Ba at (0.000, 0.000, 0.500), Mn at (0.000, 0.500, 0.000) and H at (0.500, 0.500, 0.500).

The total moment is 8.01 μB per cell.

***

What are the total DFT energy (no corrections) values for these records? In order: -4.145, -3.024 eV/atom.